No. 1
An optimized crystal structure of Nb3ZnSb. Source: Alexandria via LeMat-Bulk, functional PBE.

a b c (Å): 4.7362 4.7362 4.7362
angles (deg): 90.00 90.00 90.00
Atoms (fractional coordinates):
Nb (0.0000, 0.0000, 0.5000)
Nb (0.0000, 0.5000, 0.0000)
Nb (0.5000, 0.0000, 0.0000)
Zn (0.0000, 0.0000, 0.0000)
Sb (0.5000, 0.5000, 0.5000)

Density of states at the Fermi level = 15.5 states/eV per cell
SG = Pm-3m
Formation energy from raw total energies = 21.7 kcal/mol of atoms
Energy above the most stable polymorph in this dataset = 0 meV per atom
V = 21.25 A^3/atom

No. 2
An optimized crystal structure of NbZnSb. Source: Alexandria via LeMat-Bulk, functional PBE.

a b c (Å): 6.6937 6.6937 7.4212
angles (deg): 90.00 90.00 132.28
Atoms (fractional coordinates):
Nb (0.0970, 0.9030, 0.9084)
Nb (0.4030, 0.5970, 0.4084)
Nb (0.5970, 0.4030, 0.5916)
Nb (0.9030, 0.0970, 0.0916)
Zn (0.1731, 0.3269, 0.7500)
Zn (0.3269, 0.1731, 0.2500)
Zn (0.6731, 0.8269, 0.7500)
Zn (0.8269, 0.6731, 0.2500)
Sb (0.1780, 0.8220, 0.5512)
Sb (0.3220, 0.6780, 0.0512)
Sb (0.6780, 0.3220, 0.9488)
Sb (0.8220, 0.1780, 0.4488)

Density of states at the Fermi level = 4.7 states/eV per cell
SG = Cmce
Formation energy from raw total energies = -1.2 kcal/mol of atoms
V = 20.50 A^3/atom

No. 3
An optimized crystal structure of NbZnSb2. Source: Alexandria via LeMat-Bulk, functional PBE.

a b c (Å): 7.5617 7.5617 7.5617
angles (deg): 130.12 130.12 73.22
Atoms (fractional coordinates):
Nb (0.0000, 0.0000, 0.0000)
Nb (0.7500, 0.2500, 0.5000)
Zn (0.2500, 0.7500, 0.5000)
Zn (0.5000, 0.5000, 0.0000)
Sb (0.1282, 0.6250, 0.0032)
Sb (0.3750, 0.3782, 0.5032)
Sb (0.6218, 0.1250, 0.9968)
Sb (0.8750, 0.8718, 0.4968)

Density of states at the Fermi level = 4.1 states/eV per cell
SG = I-42d
Formation energy from raw total energies = 8.9 kcal/mol of atoms
V = 30.86 A^3/atom

No. 4
An optimized crystal structure of NbZnSb3. Source: Alexandria via LeMat-Bulk, functional PBE.

a b c (Å): 5.1400 5.1400 5.1400
angles (deg): 90.00 90.00 90.00
Atoms (fractional coordinates):
Nb (0.0000, 0.0000, 0.0000)
Zn (0.5000, 0.5000, 0.5000)
Sb (0.0000, 0.5000, 0.5000)
Sb (0.5000, 0.0000, 0.5000)
Sb (0.5000, 0.5000, 0.0000)

Density of states at the Fermi level = 5.4 states/eV per cell
SG = Pm-3m
Formation energy from raw total energies = 22.5 kcal/mol of atoms
Energy above the most stable polymorph in this dataset = 568 meV per atom
V = 27.16 A^3/atom

No. 5
An optimized crystal structure of Nb3ZnSb. Source: Alexandria via LeMat-Bulk, functional PBE.

a b c (Å): 5.0408 5.0408 5.0408
angles (deg): 90.00 90.00 90.00
Atoms (fractional coordinates):
Nb (0.0000, 0.0000, 0.5000)
Nb (0.0000, 0.5000, 0.0000)
Nb (0.5000, 0.0000, 0.0000)
Zn (0.5000, 0.5000, 0.5000)
Sb (0.0000, 0.0000, 0.0000)

Density of states at the Fermi level = 8.6 states/eV per cell
SG = Pm-3m
Formation energy from raw total energies = 35.0 kcal/mol of atoms
Energy above the most stable polymorph in this dataset = 575 meV per atom
V = 25.62 A^3/atom

No. 6
An optimized crystal structure of Nb2ZnSb. Source: Alexandria via LeMat-Bulk, functional PBE.

a b c (Å): 10.4903 10.4903 10.4903
angles (deg): 158.22 158.22 31.00
Atoms (fractional coordinates):
Nb (0.1206, 0.6250, 0.9956)
Nb (0.3750, 0.3706, 0.4956)
Nb (0.6294, 0.1250, 0.0044)
Nb (0.8750, 0.8794, 0.5044)
Zn (0.0000, 0.0000, 0.0000)
Zn (0.7500, 0.2500, 0.5000)
Sb (0.2500, 0.7500, 0.5000)
Sb (0.5000, 0.5000, 0.0000)

Density of states at the Fermi level = 9.2 states/eV per cell
SG = I-42d
Formation energy from raw total energies = 6.9 kcal/mol of atoms
Energy above the most stable polymorph in this dataset = 181 meV per atom
V = 19.86 A^3/atom

No. 7
An optimized crystal structure of Nb2ZnSb2. Source: Alexandria via LeMat-Bulk, functional PBE.

a b c (Å): 7.4398 7.4398 3.7118
angles (deg): 90.00 90.00 90.00
Atoms (fractional coordinates):
Nb (0.1441, 0.3559, 0.0000)
Nb (0.3559, 0.8559, 0.0000)
Nb (0.6441, 0.1441, 0.0000)
Nb (0.8559, 0.6441, 0.0000)
Zn (0.0000, 0.0000, 0.0000)
Zn (0.5000, 0.5000, 0.0000)
Sb (0.1529, 0.6529, 0.5000)
Sb (0.3471, 0.1529, 0.5000)
Sb (0.6529, 0.8471, 0.5000)
Sb (0.8471, 0.3471, 0.5000)

Density of states at the Fermi level = 4.2 states/eV per cell
SG = P4/mbm
Formation energy from raw total energies = -2.3 kcal/mol of atoms
Energy above the most stable polymorph in this dataset = 0 meV per atom
V = 20.54 A^3/atom

No. 8
An optimized crystal structure of Nb2ZnSb. Source: Alexandria via LeMat-Bulk, functional PBE.

a b c (Å): 4.6913 4.6913 4.6913
angles (deg): 60.00 60.00 60.00
Atoms (fractional coordinates):
Nb (0.2500, 0.2500, 0.2500)
Nb (0.7500, 0.7500, 0.7500)
Zn (0.0000, 0.0000, 0.0000)
Sb (0.5000, 0.5000, 0.5000)

Density of states at the Fermi level = 5.1 states/eV per cell
SG = Fm-3m
Formation energy from raw total energies = 2.8 kcal/mol of atoms
Energy above the most stable polymorph in this dataset = 0 meV per atom
V = 18.25 A^3/atom